! PBE-GGA Sm3Sn2Ir, relaxed; values from VASP
! - DFT formation energy (eV per atom) = -0.77
! - calculated volume (Å³ per cell) = 664.6
! - size of the total moment (μB per atom) = 0.00
&SYSTEM
  ibrav = 0, nat = 24, ntyp = 3
/
ATOMIC_SPECIES
Sm 150.36 Sm.upf
Sn 118.71 Sn.upf
Ir 192.22 Ir.upf
CELL_PARAMETERS angstrom
12.614 0.000 0.000
0.000 4.448 0.000
0.000 0.000 11.845
ATOMIC_POSITIONS angstrom
Sm 0.675 1.112 1.533
Sm 1.502 3.336 6.467
Sm 3.027 1.112 9.380
Sm 3.280 3.336 3.457
Sm 4.805 1.112 0.545
Sm 5.632 3.336 7.456
Sm 6.982 1.112 4.389
Sm 7.809 3.336 11.300
Sm 9.334 1.112 8.387
Sm 9.587 3.336 2.465
Sm 11.112 1.112 5.378
Sm 11.939 3.336 10.311
Sn 0.001 1.112 8.204
Sn 12.613 3.336 3.641
Sn 2.390 3.336 11.837
Sn 3.917 1.112 5.915
Sn 6.308 1.112 9.563
Sn 6.306 3.336 2.281
Sn 8.697 3.336 5.930
Sn 10.224 1.112 0.007
Ir 1.593 1.112 4.372
Ir 4.714 3.336 10.295
Ir 7.900 1.112 1.550
Ir 11.021 3.336 7.472

! PBE-GGA Tb2Al3InPt4, relaxed; values from VASP
! - DFT formation energy (eV per atom) = -1.02
! - calculated volume (Å³ per cell) = 192.9
! - size of the total moment (μB per atom) = 0.00
&SYSTEM
  ibrav = 0, nat = 10, ntyp = 4
/
ATOMIC_SPECIES
Tb 158.93 Tb.upf
Al 26.98 Al.upf
In 114.82 In.upf
Pt 195.08 Pt.upf
CELL_PARAMETERS angstrom
4.135 0.000 0.000
0.000 4.135 0.000
0.000 0.000 11.282
ATOMIC_POSITIONS angstrom
Tb 0.000 2.067 2.777
Tb 2.067 0.000 8.505
Al 0.000 2.067 9.850
Al 2.067 0.000 1.433
Al 2.067 2.067 5.641
In 0.000 0.000 5.641
Pt 0.000 0.000 0.000
Pt 0.000 2.067 7.398
Pt 2.067 0.000 3.884
Pt 2.067 2.067 0.000

! PBE-GGA FeCu2HgMo, relaxed; values from VASP
! - DFT formation energy (eV per atom) = 1.34
! - calculated volume (Å³ per cell) = 94.6
! - size of the total moment (μB per atom) = 1.22
&SYSTEM
  ibrav = 0, nat = 5, ntyp = 4
/
ATOMIC_SPECIES
Fe 55.84 Fe.upf
Cu 63.55 Cu.upf
Hg 200.59 Hg.upf
Mo 95.94 Mo.upf
CELL_PARAMETERS angstrom
4.417 0.000 0.000
0.000 4.417 0.000
0.000 0.000 4.849
ATOMIC_POSITIONS angstrom
Fe 0.000 0.000 0.000
Cu 0.000 2.208 0.000
Cu 2.208 0.000 0.000
Hg 0.000 0.000 2.425
Mo 2.208 2.208 2.425

! PBE-GGA ZrZnCr2, relaxed; values from VASP
! - DFT formation energy (eV per atom) = 0.52
! - calculated volume (Å³ per cell) = 68.3
! - size of the total moment (μB per atom) = 1.39
&SYSTEM
  ibrav = 0, nat = 4, ntyp = 3
/
ATOMIC_SPECIES
Zr 91.22 Zr.upf
Zn 65.41 Zn.upf
Cr 52.00 Cr.upf
CELL_PARAMETERS angstrom
1.518 0.876 8.566
-1.518 0.876 8.566
0.000 -1.752 8.566
ATOMIC_POSITIONS angstrom
Zr 0.000 0.000 0.000
Zn 0.000 0.000 12.849
Cr 0.000 0.000 6.325
Cr 0.000 0.000 19.373